*P*
The following is a DFT calculation (PBE) of a relaxed TcHPd3 crystal.

a b c (Å): 4.812 4.812 4.812
angles (deg): 90.00 90.00 90.00
Positions (direct):
Tc 0.000 0.000 0.000
Pd 0.500 0.000 0.000
Pd 0.000 0.500 0.000
Pd 0.000 0.000 0.500
H 0.500 0.500 0.500

Results
**V**: 111.4 Å³ per cell
**Space group**: No. 221



*Q*
The following is a DFT calculation (PBE) of a relaxed TcHPd3 crystal.

a b c (Å): 4.029 4.029 4.029
angles (deg): 90.00 90.00 90.00
Positions (direct):
H 0.000 0.000 0.000
Pd 0.000 0.000 0.500
Pd 0.500 0.000 0.000
Pd 0.000 0.500 0.000
Tc 0.500 0.500 0.500

Results
**V**: 65.4 Å³ per cell
**Space group**: No. 221



It is *Q* that is most stable; the runner-up trails by 1.466 eV/atom.



*P*
The following is a DFT calculation (PBE) of a relaxed TcH3Pd crystal.

a b c (Å): 3.444 3.444 3.444
angles (deg): 90.00 90.00 90.00
Positions (direct):
Pd 0.000 0.000 0.000
H 0.500 0.000 0.000
H 0.000 0.000 0.500
H 0.000 0.500 0.000
Tc 0.500 0.500 0.500

Results
**V**: 40.8 Å³ per cell
**Space group**: No. 221



*Q*
The following is a DFT calculation (PBE) of a relaxed TcH3Pd crystal.

a b c (Å): 3.448 3.448 3.448
angles (deg): 90.00 90.00 90.00
Positions (direct):
H 0.000 0.000 0.500
H 0.500 0.000 0.000
H 0.000 0.500 0.000
Pd 0.500 0.500 0.500
Tc 0.000 0.000 0.000

Results
**V**: 41.0 Å³ per cell
**Space group**: No. 221



It is *Q* that is most stable; the runner-up trails by 0.123 eV/atom.



*P*
The following is a DFT calculation (PBE) of a relaxed TcHPd2 crystal.

a b c (Å): 2.728 2.728 7.902
angles (deg): 80.06 80.06 60.00
Positions (direct):
H 0.500 0.500 0.500
Pd 0.111 0.111 0.666
Pd 0.889 0.889 0.334
Tc 0.000 0.000 0.000

Results
**V**: 49.9 Å³ per cell
**Space group**: No. 166



*Q*
The following is a DFT calculation (PBE) of a relaxed TcHPd2 crystal.

a b c (Å): 4.281 4.281 4.281
angles (deg): 60.00 60.00 60.00
Positions (direct):
Pd 0.250 0.250 0.250
Pd 0.750 0.750 0.750
Tc 0.500 0.500 0.500
H 0.000 0.000 0.000

Results
**V**: 55.5 Å³ per cell
**Space group**: No. 225



It is *P* that is most stable; the runner-up trails by 0.490 eV/atom.



*P*
The following is a DFT calculation (PBE) of a relaxed TeH2Pd4 crystal.

a b c (Å): 5.016 5.016 5.864
angles (deg): 64.68 64.68 90.00
Positions (direct):
Pd 0.500 0.000 0.000
Pd 0.000 0.500 0.000
Pd 0.722 0.722 0.556
Pd 0.278 0.278 0.444
H 0.450 0.450 0.100
H 0.550 0.550 0.900
Te 0.000 0.000 0.000

Results
**V**: 117.5 Å³ per cell
**Space group**: No. 139



*Q*
The following is a DFT calculation (PBE) of a relaxed TeH2Pd4 crystal.

a b c (Å): 5.648 5.187 7.638
angles (deg): 108.31 114.40 96.32
Positions (direct):
H 0.599 0.386 0.326
H 0.682 0.902 0.283
H 0.239 0.529 0.871
H 0.676 0.387 0.862
Pd 0.811 0.814 0.516
Pd 0.380 0.065 0.315
Pd 0.329 0.288 0.689
Pd 0.395 0.893 0.915
Pd 0.864 0.414 0.725
Pd 0.841 0.654 0.125
Pd 0.337 0.459 0.113
Pd 0.876 0.245 0.317
Te 0.282 0.728 0.502
Te 0.938 0.985 0.941

Results
**V**: 185.8 Å³ per cell
**Space group**: No. 1



It is *Q* that is most stable; the runner-up trails by 0.488 eV/atom.



*P*
The following is a DFT calculation (PBE) of a relaxed Te4HPd2 crystal.

a b c (Å): 8.104 7.032 8.288
angles (deg): 113.22 119.27 89.99
Positions (direct):
Te 0.414 0.157 0.828
Te 0.365 0.624 0.731
Te 0.826 0.600 0.168
Te 0.908 0.150 0.332
Te 0.342 0.600 0.168
Te 0.424 0.150 0.332
Te 0.836 0.593 0.672
Te 0.885 0.126 0.769
Pd 0.625 0.375 0.250
Pd 0.125 0.375 0.750
Pd 0.625 0.875 0.250
Pd 0.625 0.375 0.750
H 0.016 0.206 0.032
H 0.234 0.544 0.468

Results
**V**: 367.6 Å³ per cell
**Space group**: No. 12



*Q*
The following is a DFT calculation (PBE) of a relaxed Te4HPd2 crystal.

a b c (Å): 4.690 4.690 8.938
angles (deg): 74.79 74.79 90.00
Positions (direct):
Te 0.500 0.000 0.000
Te 0.258 0.258 0.484
Te 0.742 0.742 0.516
Te 0.000 0.500 0.000
Pd 0.415 0.415 0.170
Pd 0.585 0.585 0.830
H 0.000 0.000 0.000

Results
**V**: 182.5 Å³ per cell
**Space group**: No. 139



It is *P* that is most stable; the runner-up trails by 0.274 eV/atom.



*P*
The following is a DFT calculation (PBE) of a relaxed ThHPd crystal.

a b c (Å): 3.896 4.236 6.430
angles (deg): 90.00 106.14 90.00
Positions (direct):
Pd 0.699 0.615 0.840
Pd 0.531 0.115 0.545
H 0.866 0.115 0.206
H 0.364 0.615 0.180
Th 0.266 0.115 0.982
Th 0.964 0.615 0.403

Results
**V**: 101.9 Å³ per cell
**Space group**: No. 11



*Q*
The following is a DFT calculation (PBE) of a relaxed ThHPd crystal.

a b c (Å): 4.960 3.158 8.197
angles (deg): 101.11 107.61 90.00
Positions (direct):
Th 0.164 0.664 0.329
Th 0.836 0.336 0.671
H 0.680 0.180 0.361
H 0.320 0.820 0.639
Pd 0.255 0.500 0.000
Pd 0.745 0.500 0.000

Results
**V**: 119.9 Å³ per cell
**Space group**: No. 71



*R*
The following is a DFT calculation (PBE) of a relaxed ThHPd crystal.

a b c (Å): 3.487 5.026 5.673
angles (deg): 90.00 90.00 90.00
Positions (direct):
H 0.812 0.846 0.846
H 0.811 0.346 0.947
Pd 0.812 0.153 0.252
Pd 0.812 0.653 0.541
Th 0.312 0.650 0.113
Th 0.312 0.150 0.680

Results
**V**: 99.4 Å³ per cell
**Space group**: No. 26



It is *P* that is most stable; the runner-up trails by 0.180 eV/atom.



*P*
The following is a DFT calculation (PBE) of a relaxed ThH2Pd crystal.

a b c (Å): 4.212 4.212 4.458
angles (deg): 61.81 61.81 60.00
Positions (direct):
H 0.835 0.835 0.495
H 0.165 0.165 0.505
Th 0.500 0.500 0.500
Pd 0.000 0.000 0.000

Results
**V**: 57.4 Å³ per cell
**Space group**: No. 166



*Q*
The following is a DFT calculation (PBE) of a relaxed ThH2Pd crystal.

a b c (Å): 4.085 4.180 6.498
angles (deg): 90.00 106.96 90.00
Positions (direct):
Pd 0.092 0.750 0.154
Pd 0.908 0.250 0.846
H 0.450 0.250 0.896
H 0.550 0.750 0.104
H 0.248 0.250 0.503
H 0.752 0.750 0.497
Th 0.347 0.750 0.708
Th 0.653 0.250 0.292

Results
**V**: 106.1 Å³ per cell
**Space group**: No. 11



It is *Q* that is most stable; the runner-up trails by 0.141 eV/atom.



*P*
The following is a DFT calculation (PBE) of a relaxed Th2HPd crystal.

a b c (Å): 3.384 3.384 8.932
angles (deg): 79.08 79.08 60.00
Positions (direct):
Th 0.104 0.104 0.687
Th 0.896 0.896 0.313
Pd 0.000 0.000 0.000
H 0.500 0.500 0.500

Results
**V**: 86.4 Å³ per cell
**Space group**: No. 166



*Q*
The following is a DFT calculation (PBE) of a relaxed Th2HPd crystal.

a b c (Å): 3.708 6.519 7.540
angles (deg): 106.81 90.00 90.00
Positions (direct):
H 0.750 0.838 0.336
H 0.250 0.162 0.664
Th 0.250 0.803 0.087
Th 0.250 0.787 0.562
Th 0.750 0.197 0.913
Th 0.750 0.213 0.438
Pd 0.750 0.604 0.782
Pd 0.250 0.396 0.218

Results
**V**: 174.5 Å³ per cell
**Space group**: No. 11



It is *Q* that is most stable; the runner-up trails by 0.463 eV/atom.



*P*
The following is a DFT calculation (PBE) of a relaxed ThHPd2 crystal.

a b c (Å): 3.667 7.799 6.181
angles (deg): 79.79 126.39 89.98
Positions (direct):
Pd 0.274 0.938 0.275
Pd 0.726 0.062 0.725
Pd 0.779 0.411 0.779
Pd 0.221 0.589 0.221
H 0.007 0.181 0.006
H 0.993 0.819 0.994
Th 0.185 0.727 0.685
Th 0.815 0.273 0.315

Results
**V**: 138.8 Å³ per cell
**Space group**: No. 10



*Q*
The following is a DFT calculation (PBE) of a relaxed ThHPd2 crystal.

a b c (Å): 3.235 3.235 7.698
angles (deg): 77.87 77.87 60.00
Positions (direct):
Th 0.000 0.000 0.000
Pd 0.882 0.882 0.354
Pd 0.118 0.118 0.646
H 0.500 0.500 0.500

Results
**V**: 67.7 Å³ per cell
**Space group**: No. 166



It is *P* that is most stable; the runner-up trails by 0.710 eV/atom.



*P*
The following is a DFT calculation (PBE) of a relaxed Ti2H2Pd crystal.

a b c (Å): 6.194 6.194 2.769
angles (deg): 90.00 90.00 90.00
Positions (direct):
Ti 0.848 0.348 0.500
Ti 0.652 0.848 0.500
Ti 0.348 0.152 0.500
Ti 0.152 0.652 0.500
H 0.887 0.613 0.000
H 0.113 0.387 0.000
H 0.387 0.887 0.000
H 0.613 0.113 0.000
Pd 0.500 0.500 0.000
Pd 0.000 0.000 0.000

Results
**V**: 106.2 Å³ per cell
**Space group**: No. 127



*Q*
The following is a DFT calculation (PBE) of a relaxed Ti2H2Pd crystal.

a b c (Å): 2.917 2.917 6.500
angles (deg): 77.03 77.03 90.00
Positions (direct):
Ti 0.651 0.651 0.698
Ti 0.349 0.349 0.302
H 0.750 0.250 0.500
H 0.250 0.750 0.500
Pd 0.000 0.000 0.000

Results
**V**: 52.5 Å³ per cell
**Space group**: No. 139



It is *Q* that is most stable; the runner-up trails by 0.335 eV/atom.



*P*
The following is a DFT calculation (PBE) of a relaxed Ti2H2Pd crystal.

a b c (Å): 6.572 6.572 6.572
angles (deg): 155.01 155.01 35.63
Positions (direct):
H 0.813 0.813 0.000
H 0.187 0.187 0.000
Ti 0.659 0.659 0.000
Ti 0.341 0.341 0.000
Pd 0.000 0.000 0.000

Results
**V**: 50.6 Å³ per cell
**Space group**: No. 139



*Q*
The following is a DFT calculation (PBE) of a relaxed Ti2H2Pd crystal.

a b c (Å): 5.343 5.575 5.009
angles (deg): 72.66 57.78 55.98
Positions (direct):
H 0.568 0.501 0.705
H 0.273 0.001 0.295
H 0.727 0.999 0.705
H 0.432 0.499 0.295
Ti 0.826 0.250 0.348
Ti 0.174 0.750 0.652
Ti 0.478 0.250 0.044
Ti 0.522 0.750 0.956
Pd 0.852 0.750 0.295
Pd 0.148 0.250 0.705

Results
**V**: 104.6 Å³ per cell
**Space group**: No. 15



It is *P* that is most stable; the runner-up trails by 0.048 eV/atom.



*P*
The following is a DFT calculation (PBE) of a relaxed TiH2Pd2 crystal.

a b c (Å): 5.539 5.539 3.648
angles (deg): 90.00 90.00 90.00
Positions (direct):
Pd 0.328 0.172 0.500
Pd 0.828 0.328 0.500
Pd 0.672 0.828 0.500
Pd 0.172 0.672 0.500
H 0.670 0.830 0.000
H 0.330 0.170 0.000
H 0.170 0.670 0.000
H 0.830 0.330 0.000
Ti 0.500 0.500 0.000
Ti 0.000 0.000 0.000

Results
**V**: 111.9 Å³ per cell
**Space group**: No. 127



*Q*
The following is a DFT calculation (PBE) of a relaxed TiH2Pd2 crystal.

a b c (Å): 3.503 3.503 4.948
angles (deg): 69.27 69.27 90.00
Positions (direct):
H 0.250 0.750 0.500
H 0.750 0.250 0.500
Ti 0.000 0.000 0.000
Pd 0.661 0.661 0.677
Pd 0.339 0.339 0.323

Results
**V**: 52.6 Å³ per cell
**Space group**: No. 139



It is *Q* that is most stable; the runner-up trails by 0.022 eV/atom.